Entry 1:
## RbLa2BBr (SCAN)

Data for a PBEsol-optimized structure of RbLa2BBr.

Structure (CIF):
```
data_RbLa2BBr
_chemical_formula_sum 'Rb1 La2 B1 Br1'
_cell_length_a 5.4591
_cell_length_b 5.6502
_cell_length_c 5.6502
_cell_angle_alpha 90.00
_cell_angle_beta 90.00
_cell_angle_gamma 90.00
_symmetry_space_group_name_H-M 'P 1'
_symmetry_Int_Tables_number 1
_symmetry_space_group_name_Hall 'P 1'
loop_
_atom_site_label
_atom_site_fract_x
_atom_site_fract_y
_atom_site_fract_z
B1 0.5000 0.5000 0.5000
Br1 0.5000 0.0000 0.0000
Rb1 0.0000 0.0000 0.0000
La1 0.0000 0.0000 0.5000
La2 0.0000 0.5000 0.0000
```

Output
SG ... P4/mmm (123)
ρ ... 4.3 Mg/m³

---

Entry 2:
## LaBSeBr2 (SCAN)

Data for a PBEsol-optimized structure of LaBSeBr2.

Structure (CIF):
```
data_LaBSeBr2
_chemical_formula_sum 'La1 B1 Se1 Br2'
_cell_length_a 4.8751
_cell_length_b 4.6491
_cell_length_c 4.6491
_cell_angle_alpha 90.00
_cell_angle_beta 90.00
_cell_angle_gamma 90.00
_symmetry_space_group_name_H-M 'P 1'
_symmetry_Int_Tables_number 1
_symmetry_space_group_name_Hall 'P 1'
loop_
_atom_site_label
_atom_site_fract_x
_atom_site_fract_y
_atom_site_fract_z
B1 0.0000 0.0000 0.0000
Se1 0.5000 0.0000 0.0000
Br1 0.0000 0.0000 0.5000
Br2 0.0000 0.5000 0.0000
La1 0.5000 0.5000 0.5000
```

Output
SG ... P4/mmm (123)
ρ ... 6.1 Mg/m³

---

Entry 3:
## LaTaBBr2 (SCAN)

Data for a PBEsol-optimized structure of LaTaBBr2.

Structure (CIF):
```
data_LaTaBBr2
_chemical_formula_sum 'La1 Ta1 B1 Br2'
_cell_length_a 4.8986
_cell_length_b 5.6096
_cell_length_c 5.6096
_cell_angle_alpha 90.00
_cell_angle_beta 90.00
_cell_angle_gamma 90.00
_symmetry_space_group_name_H-M 'P 1'
_symmetry_Int_Tables_number 1
_symmetry_space_group_name_Hall 'P 1'
loop_
_atom_site_label
_atom_site_fract_x
_atom_site_fract_y
_atom_site_fract_z
B1 0.5000 0.0000 0.0000
La1 0.0000 0.0000 0.0000
Br1 0.0000 0.0000 0.5000
Br2 0.0000 0.5000 0.0000
Ta1 0.5000 0.5000 0.5000
```

Output
SG ... P4/mmm (123)
ρ ... 5.3 Mg/m³

---

Entry 4:
## Li2BBr2 (SCAN)

Data for a PBEsol-optimized structure of Li2BBr2.

Structure (CIF):
```
data_Li2BBr2
_chemical_formula_sum 'Li2 B1 Br2'
_cell_length_a 4.3338
_cell_length_b 4.3338
_cell_length_c 6.7307
_cell_angle_alpha 108.78
_cell_angle_beta 108.78
_cell_angle_gamma 90.00
_symmetry_space_group_name_H-M 'P 1'
_symmetry_Int_Tables_number 1
_symmetry_space_group_name_Hall 'P 1'
loop_
_atom_site_label
_atom_site_fract_x
_atom_site_fract_y
_atom_site_fract_z
B1 0.0000 0.0000 0.0000
Br1 0.3555 0.3555 0.7110
Br2 0.6445 0.6445 0.2890
Li1 0.2500 0.7500 0.5000
Li2 0.7500 0.2500 0.5000
```

Output
SG ... I4/mmm (139)
ρ ... 2.7 Mg/m³

---

Entry 5:
## LiBSeBr2 (SCAN)

Data for a PBEsol-optimized structure of LiBSeBr2.

Structure (CIF):
```
data_LiBSeBr2
_chemical_formula_sum 'Li1 B1 Se1 Br2'
_cell_length_a 4.0483
_cell_length_b 5.1468
_cell_length_c 5.1468
_cell_angle_alpha 90.00
_cell_angle_beta 90.00
_cell_angle_gamma 90.00
_symmetry_space_group_name_H-M 'P 1'
_symmetry_Int_Tables_number 1
_symmetry_space_group_name_Hall 'P 1'
loop_
_atom_site_label
_atom_site_fract_x
_atom_site_fract_y
_atom_site_fract_z
B1 0.0000 0.0000 0.0000
Se1 0.5000 0.0000 0.0000
Br1 0.0000 0.0000 0.5000
Br2 0.0000 0.5000 0.0000
Li1 0.5000 0.5000 0.5000
```

Output
SG ... P4/mmm (123)
ρ ... 4.0 Mg/m³

---

Entry 6:
## Mg3BBr (SCAN)

Data for a PBEsol-optimized structure of Mg3BBr.

Structure (CIF):
```
data_Mg3BBr
_chemical_formula_sum 'Mg3 B1 Br1'
_cell_length_a 5.0349
_cell_length_b 5.0349
_cell_length_c 5.0349
_cell_angle_alpha 90.00
_cell_angle_beta 90.00
_cell_angle_gamma 90.00
_symmetry_space_group_name_H-M 'P 1'
_symmetry_Int_Tables_number 1
_symmetry_space_group_name_Hall 'P 1'
loop_
_atom_site_label
_atom_site_fract_x
_atom_site_fract_y
_atom_site_fract_z
Mg1 0.0000 0.5000 0.0000
Mg2 0.0000 0.0000 0.5000
Mg3 0.5000 0.0000 0.0000
B1 0.5000 0.5000 0.5000
Br1 0.0000 0.0000 0.0000
```

Output
SG ... Pm-3m (221)
ρ ... 2.1 Mg/m³

---

Entry 7:
## Mg2BBrN2 (SCAN)

Data for a PBEsol-optimized structure of Mg2BBrN2.

Structure (CIF):
```
data_Mg2BBrN2
_chemical_formula_sum 'Mg4 B2 Br2 N4'
_cell_length_a 5.6457
_cell_length_b 5.6457
_cell_length_c 6.4544
_cell_angle_alpha 74.30
_cell_angle_beta 74.30
_cell_angle_gamma 71.69
_symmetry_space_group_name_H-M 'P 1'
_symmetry_Int_Tables_number 1
_symmetry_space_group_name_Hall 'P 1'
loop_
_atom_site_label
_atom_site_fract_x
_atom_site_fract_y
_atom_site_fract_z
Mg1 0.3470 0.1407 0.8338
Mg2 0.8593 0.6530 0.6662
Mg3 0.6530 0.8593 0.1662
Mg4 0.1407 0.3470 0.3338
B1 0.1119 0.8881 0.2500
B2 0.8881 0.1119 0.7500
Br1 0.6325 0.3675 0.2500
Br2 0.3675 0.6325 0.7500
N1 0.2676 0.0435 0.1776
N2 0.9565 0.7324 0.3224
N3 0.7324 0.9565 0.8224
N4 0.0435 0.2676 0.6776
```

Output
SG ... C2/c (15)
ρ ... 3.0 Mg/m³

---

Entry 8:
## Mg3B7BrO13 (SCAN)

Data for a PBEsol-optimized structure of Mg3B7BrO13.

Structure (CIF):
```
data_Mg3B7BrO13
_chemical_formula_sum 'Mg6 B14 Br2 O26'
_cell_length_a 8.5535
_cell_length_b 8.5535
_cell_length_c 8.5535
_cell_angle_alpha 60.00
_cell_angle_beta 60.00
_cell_angle_gamma 60.00
_symmetry_space_group_name_H-M 'P 1'
_symmetry_Int_Tables_number 1
_symmetry_space_group_name_Hall 'P 1'
loop_
_atom_site_label
_atom_site_fract_x
_atom_site_fract_y
_atom_site_fract_z
Mg1 0.0000 0.5000 0.5000
Mg2 0.5000 0.0000 0.0000
Mg3 0.0000 0.0000 0.5000
Mg4 0.5000 0.5000 0.0000
Mg5 0.5000 0.0000 0.5000
Mg6 0.0000 0.5000 0.0000
B1 0.9199 0.9199 0.2402
B2 0.2402 0.9199 0.9199
B3 0.9199 0.9199 0.9199
B4 0.4199 0.4199 0.7402
B5 0.9199 0.2402 0.9199
B6 0.7402 0.4199 0.4199
B7 0.4199 0.7402 0.4199
B8 0.4199 0.4199 0.4199
B9 0.7500 0.2500 0.2500
B10 0.2500 0.7500 0.7500
B11 0.7500 0.7500 0.2500
B12 0.2500 0.2500 0.7500
B13 0.2500 0.7500 0.2500
B14 0.7500 0.2500 0.7500
Br1 0.7500 0.7500 0.7500
Br2 0.2500 0.2500 0.2500
O1 0.0631 0.7413 0.2981
O2 0.2981 0.8975 0.0631
O3 0.7413 0.0631 0.8975
O4 0.8975 0.0631 0.2981
O5 0.5631 0.3975 0.7981
O6 0.8975 0.2981 0.7413
O7 0.7413 0.2981 0.0631
O8 0.7981 0.2413 0.5631
O9 0.2981 0.7413 0.8975
O10 0.2413 0.7981 0.3975
O11 0.0631 0.8975 0.7413
O12 0.3975 0.5631 0.2413
O13 0.7413 0.8975 0.2981
O14 0.3975 0.2413 0.7981
O15 0.0631 0.2981 0.8975
O16 0.7981 0.5631 0.3975
O17 0.2981 0.0631 0.7413
O18 0.5631 0.7981 0.2413
O19 0.8975 0.7413 0.0631
O20 0.2413 0.3975 0.5631
O21 0.2413 0.5631 0.7981
O22 0.3975 0.7981 0.5631
O23 0.7981 0.3975 0.2413
O24 0.5631 0.2413 0.3975
O25 0.0000 0.0000 0.0000
O26 0.5000 0.5000 0.5000
```

Output
SG ... F-43c (219)
ρ ... 3.3 Mg/m³

---

Let's list raw formation energy in order: 1.546; -0.471; 1.166; -0.142; 0.078; 1.218; -1.299; -2.735 eV/atom.